## Np2Ga6Au (PBE)

Data for a relaxed structure of Np2Ga6Au.

Geometry as extended XYZ:
```
9
Lattice="2.9387 -4.1734 0.0000 2.9387 4.1734 0.0000 0.0000 0.0000 7.6744" Properties=species:S:1:pos:R:3 pbc="T T T"
Np 0.0000 0.0000 1.9106
Np 0.0000 0.0000 5.7638
Ga 1.4693 2.0867 0.0000
Ga 1.4693 2.0867 3.8372
Ga 1.4693 -2.0867 0.0000
Ga 1.4693 -2.0867 3.8372
Ga 2.9387 0.0000 1.3016
Ga 2.9387 0.0000 6.3728
Au 2.9387 0.0000 3.8372
```

Summary:
* space-group type: Cmmm (65)
* theoretical density: 9.61 g/cm3



## GdZrInCu (PBE)

Data for a relaxed structure of GdZrInCu.

Geometry as extended XYZ:
```
16
Lattice="7.1149 0.0000 0.0000 0.0000 7.1149 0.0000 0.0000 0.0000 7.1149" Properties=species:S:1:pos:R:3 pbc="T T T"
Gd 0.0000 0.0000 0.0000
Gd 0.0000 3.5574 3.5574
Gd 3.5574 0.0000 3.5574
Gd 3.5574 3.5574 0.0000
Zr 0.0000 0.0000 3.5574
Zr 0.0000 3.5574 0.0000
Zr 3.5574 0.0000 0.0000
Zr 3.5574 3.5574 3.5574
In 1.7787 1.7787 1.7787
In 1.7787 5.3362 5.3362
In 5.3362 1.7787 5.3362
In 5.3362 5.3362 1.7787
Cu 1.7787 1.7787 5.3362
Cu 1.7787 5.3362 1.7787
Cu 5.3362 1.7787 1.7787
Cu 5.3362 5.3362 5.3362
```

Summary:
* space-group type: F-43m (216)
* theoretical density: 7.87 g/cm3



| no. | DFT total energy (eV per atom) |
| --- | --- |
| 1 | -5.252 |
| 2 | -7.517 |